1.
DFT (PBE) results for an optimized crystal structure of PuBe2Ga.

Output
- DFT total energy: -6.1338 eV/atom

```
data_PuBe2Ga
_chemical_formula_sum 'Pu4 Be8 Ga4'
_space_group_name_H-M_alt 'F m -3 m'
_space_group_IT_number 225
_space_group_name_Hall '-F 4 2 3'
_cell_length_a 6.1779
_cell_length_b 6.1779
_cell_length_c 6.1779
_cell_angle_alpha 90.00
_cell_angle_beta 90.00
_cell_angle_gamma 90.00
loop_
_atom_site_label
_atom_site_fract_x
_atom_site_fract_y
_atom_site_fract_z
Pu1 0.0000 0.0000 0.0000
Be1 0.2500 0.2500 0.2500
Ga1 0.0000 0.0000 0.5000
```

---

2.
DFT (PBE) results for an optimized crystal structure of Ba2Mg4GaSi3.

Output
- DFT total energy: -3.2505 eV/atom
- Uncorrected formation energy: -0.30 eV per atom

```
data_Ba2Mg4GaSi3
_chemical_formula_sum 'Ba2 Mg4 Ga1 Si3'
_space_group_name_H-M_alt 'P -4 m 2'
_space_group_IT_number 115
_space_group_name_Hall 'P -4 -2'
_cell_length_a 4.6497
_cell_length_b 4.6497
_cell_length_c 11.4674
_cell_angle_alpha 90.00
_cell_angle_beta 90.00
_cell_angle_gamma 90.00
loop_
_atom_site_label
_atom_site_fract_x
_atom_site_fract_y
_atom_site_fract_z
Ba1 0.0000 0.5000 0.2498
Mg1 0.0000 0.0000 0.0000
Mg2 0.0000 0.5000 0.6305
Mg3 0.5000 0.5000 0.0000
Ga1 0.0000 0.0000 0.5000
Si1 0.0000 0.5000 0.8668
Si2 0.5000 0.5000 0.5000
```

---

3.
DFT (PBE) results for an optimized crystal structure of Pm3Cu6Sn5.

Output
- DFT total energy: -4.6365 eV/atom

```
data_Pm3Cu6Sn5
_chemical_formula_sum 'Pm6 Cu12 Sn10'
_space_group_name_H-M_alt 'P m m n'
_space_group_IT_number 59
_cell_length_a 4.4528
_cell_length_b 13.1182
_cell_length_c 9.8344
_cell_angle_alpha 90.00
_cell_angle_beta 90.00
_cell_angle_gamma 90.00
loop_
_space_group_symop_operation_xyz
'x,y,z'
'-x,-y,-z'
'-x+1/2,-y+1/2,z'
'x+1/2,y+1/2,-z'
'x+1/2,-y,-z'
'-x+1/2,y,z'
'-x,y+1/2,-z'
'x,-y+1/2,z'
loop_
_atom_site_label
_atom_site_fract_x
_atom_site_fract_y
_atom_site_fract_z
Pm1 0.2500 0.0647 0.2426
Pm2 0.2500 0.7500 0.2397
Cu1 0.2500 0.0841 0.6121
Cu2 0.2500 0.2500 0.0395
Cu3 0.2500 0.2500 0.4838
Cu4 0.2500 0.5994 0.9836
Sn1 0.2500 0.0900 0.8759
Sn2 0.2500 0.6148 0.5218
Sn3 0.2500 0.7500 0.7993
```

---

4.
DFT (PBE) results for an optimized crystal structure of Li7Ca6.

Output
- DFT total energy: -1.9437 eV/atom

```
data_Li7Ca6
_chemical_formula_sum 'Li21 Ca18'
_space_group_name_H-M_alt 'R -3 m'
_space_group_IT_number 166
_space_group_name_Hall '-R 3 2"'
_cell_length_a 6.3183
_cell_length_b 6.3183
_cell_length_c 34.6833
_cell_angle_alpha 90.00
_cell_angle_beta 90.00
_cell_angle_gamma 120.00
loop_
_atom_site_label
_atom_site_fract_x
_atom_site_fract_y
_atom_site_fract_z
Li1 0.0000 0.0000 0.0000
Li2 0.0024 0.5012 0.5936
Ca1 0.0000 0.0000 0.1670
Ca2 0.0000 0.0000 0.3459
Ca3 0.0000 0.0000 0.4492
```

---

5.
DFT (PBE) results for an optimized crystal structure of Ti2Be16B.

Output
- DFT total energy: -4.4935 eV/atom

```
data_Ti2Be16B
_chemical_formula_sum 'Ti6 Be48 B3'
_space_group_name_H-M_alt 'R 3 m'
_space_group_IT_number 160
_space_group_name_Hall 'R 3 -2"'
_cell_length_a 7.2746
_cell_length_b 7.2746
_cell_length_c 10.6705
_cell_angle_alpha 90.00
_cell_angle_beta 90.00
_cell_angle_gamma 120.00
loop_
_atom_site_label
_atom_site_fract_x
_atom_site_fract_y
_atom_site_fract_z
Ti1 0.0000 0.0000 0.0000
Ti2 0.0000 0.0000 0.3349
Be1 0.0000 0.0000 0.7523
Be2 0.0005 0.2979 0.6665
Be3 0.0014 0.5007 0.8235
Be4 0.0039 0.5020 0.1660
Be5 0.1686 0.3371 0.8427
B1 0.0000 0.0000 0.5616
```

---

6.
DFT (PBE) results for an optimized crystal structure of Ce2Y3Pb4.

Output
- DFT total energy: -5.5100 eV/atom

```
data_Ce2Y3Pb4
_chemical_formula_sum 'Ce8 Y12 Pb16'
_space_group_name_H-M_alt 'C m c e'
_space_group_IT_number 64
_space_group_name_Hall '-C 2ac 2'
_cell_length_a 7.2333
_cell_length_b 17.3374
_cell_length_c 9.0645
_cell_angle_alpha 90.00
_cell_angle_beta 90.00
_cell_angle_gamma 90.00
loop_
_atom_site_label
_atom_site_fract_x
_atom_site_fract_y
_atom_site_fract_z
Ce1 0.0000 0.1110 0.0881
Y1 0.0000 0.0000 0.5000
Y2 0.2500 0.2067 0.7500
Pb1 0.0000 0.1860 0.4447
Pb2 0.2500 0.0301 0.7500
```

---

7.
DFT (PBE) results for an optimized crystal structure of NaPd8Pb6.

Output
- DFT total energy: -4.4701 eV/atom

```
data_NaPd8Pb6
_chemical_formula_sum 'Na3 Pd24 Pb18'
_space_group_name_H-M_alt 'R -3'
_space_group_IT_number 148
_space_group_name_Hall '-R 3'
_cell_length_a 8.1628
_cell_length_b 8.1628
_cell_length_c 17.0300
_cell_angle_alpha 90.00
_cell_angle_beta 90.00
_cell_angle_gamma 120.00
loop_
_atom_site_label
_atom_site_fract_x
_atom_site_fract_y
_atom_site_fract_z
Na1 0.0000 0.0000 0.0000
Pd1 0.0000 0.0000 0.2979
Pd2 0.0013 0.3772 0.5610
Pb1 0.0015 0.2787 0.4035
```

---

8.
DFT (PBE) results for an optimized crystal structure of TaTi2IrCl.

Output
- DFT total energy: -7.3055 eV/atom
- Uncorrected formation energy: 0.36 eV per atom

```
data_TaTi2IrCl
_chemical_formula_sum 'Ta1 Ti2 Ir1 Cl1'
_space_group_name_H-M_alt 'P 4/m m m'
_space_group_IT_number 123
_space_group_name_Hall '-P 4 2'
_cell_length_a 4.3489
_cell_length_b 4.3489
_cell_length_c 4.5356
_cell_angle_alpha 90.00
_cell_angle_beta 90.00
_cell_angle_gamma 90.00
loop_
_atom_site_label
_atom_site_fract_x
_atom_site_fract_y
_atom_site_fract_z
Ta1 0.0000 0.0000 0.0000
Ti1 0.0000 0.5000 0.5000
Ir1 0.5000 0.5000 0.0000
Cl1 0.5000 0.5000 0.5000
```

---

> The highest DFT total energy belongs to which entry?

Li7Ca6

---

> Number 8 is which compound?

TaTi2IrCl

---

> DFT total energy of number 6 (Ce2Y3Pb4)?

-5.5100 eV/atom